Na21Ag25: relaxed, PBE.

abc: 27.3964 27.3964 9.2994
angles: 90.00 90.00 120.00
Last column: nearest neighbours and their distance in Å.
Space group R-3c (No. 167, hexagonal axes)
One atom of each set of equivalent atoms:
Na1 0.9996 0.1163 0.0650 (multiplicity 36)  4 Na 3.18-3.44, 12 Ag 3.25-3.37
Na2 0.9998 0.2264 0.9561 (multiplicity 36)  7 Ag 3.08-3.20, 4 Na 3.18-3.39
Na3 0.0000 0.3057 0.2500 (multiplicity 18)  4 Ag 3.06-3.11, 4 Na 3.36-3.39
Na4 0.0221 0.4665 0.4172 (multiplicity 36)  4 Na 3.07-3.35, 8 Ag 3.15-3.34
Ag1 0.0000 0.0000 0.0000 (multiplicity 6)  6 Ag 2.85
Ag2 0.0000 0.0600 0.7500 (multiplicity 18)  6 Ag 2.79-2.85
Ag3 0.0000 0.4425 0.7500 (multiplicity 18)  4 Ag 2.80-2.88, 2 Na 3.11
Ag4 0.0583 0.1778 0.7524 (multiplicity 36)  5 Ag 2.77-2.84
Ag5 0.0595 0.2363 0.2551 (multiplicity 36)  5 Ag 2.80-2.84, 2 Na 3.06-3.08
Ag6 0.0966 0.5484 0.1692 (multiplicity 36)  5 Ag 2.81-2.88, 2 Na 3.14

## Properties
The electronic total energy is -2.202 eV per atom.

***

TaNi2Te2: relaxed, PBE.

abc: 6.4750 3.5768 17.3046
angles: 90.00 90.00 90.00
Last column: nearest neighbours and their distance in Å.
Space group Pnma (No. 62)
One atom of each set of equivalent atoms:
Ta1 0.0953 0.2500 0.2237 (multiplicity 4)  8 Ni 2.71-2.76, 3 Te 2.90-2.94
Ni1 0.1015 0.2500 0.6845 (multiplicity 4)  2 Ni 2.41-2.53, 3 Te 2.53-2.57
Ni2 0.2106 0.2500 0.8175 (multiplicity 4)  2 Ni 2.41-2.53, 3 Te 2.53-2.57
Te1 0.0911 0.2500 0.3939 (multiplicity 4)  4 Ni 2.57
Te2 0.0956 0.7500 0.0920 (multiplicity 4)  2 Ni 2.53

## Properties
The electronic total energy is -6.224 eV per atom.

***

NbAsIrO: relaxed, PBE.

abc: 4.2276 4.2276 6.2586
angles: 90.00 90.00 90.00
Last column: nearest neighbours and their distance in Å.
Space group P4/nmm (No. 129, origin choice 2)
One atom of each set of equivalent atoms:
Nb1 0.2500 0.7500 0.0000 (multiplicity 2)  4 As 2.57
As1 0.2500 0.2500 0.2339 (multiplicity 2)  1 Ir 2.53, 4 Nb 2.57, 4 O 2.69
Ir1 0.2500 0.2500 0.6383 (multiplicity 2)  4 O 2.28, 1 As 2.53
O1 0.2500 0.7500 0.5000 (multiplicity 2)  4 Ir 2.28

## Properties
The electronic total energy is -7.086 eV per atom.

***

Nb4FeCuN2: relaxed, PBE.

abc: 3.1008 3.1008 13.1474
angles: 90.00 90.00 120.00
Last column: nearest neighbours and their distance in Å.
Space group P-6m2 (No. 187)
One atom of each set of equivalent atoms:
Nb1 0.0000 0.0000 0.1530 (multiplicity 2)  3 N 2.18
Nb2 0.6667 0.3333 0.3402 (multiplicity 2)  3 N 2.17
Fe1 0.6667 0.3333 0.0000 (multiplicity 1)  6 Nb 2.69
Cu1 0.0000 0.0000 0.5000 (multiplicity 1)  6 Nb 2.76
N1 0.3333 0.6667 0.2474 (multiplicity 2)  6 Nb 2.17-2.18

## Properties
The electronic total energy is -9.001 eV per atom.

***

Dy2TlGa3: relaxed, PBE.

abc: 4.4445 14.0615 4.3310
angles: 90.00 90.00 90.00
Last column: nearest neighbours and their distance in Å.
Space group Cmmm (No. 65)
One atom of each set of equivalent atoms:
Dy1 0.0000 0.1554 0.0000 (multiplicity 4)  8 Ga 3.08-3.13, 2 Tl 3.12
Tl1 0.0000 0.5000 0.0000 (multiplicity 2)  8 Ga 3.10-3.38, 4 Dy 3.12
Ga1 0.0000 0.0000 0.5000 (multiplicity 2)  4 Dy 3.08, 4 Tl 3.10, 4 Ga 3.41
Ga2 0.0000 0.3158 0.5000 (multiplicity 4)  2 Ga 2.89, 6 Dy 3.13

## Properties
The electronic total energy is -3.880 eV per atom.

***

LiZnMoIr: relaxed, PBE.

abc: 6.0112 6.0112 6.0112
angles: 90.00 90.00 90.00
Last column: nearest neighbours and their distance in Å.
Space group F-43m (No. 216)
One atom of each set of equivalent atoms:
Li1 0.0000 0.0000 0.0000 (multiplicity 4)  4 Mo 2.60, 4 Ir 2.60
Zn1 0.0000 0.0000 0.5000 (multiplicity 4)  4 Mo 2.60, 4 Ir 2.60
Mo1 0.2500 0.2500 0.7500 (multiplicity 4)  4 Li 2.60, 4 Zn 2.60
Ir1 0.2500 0.2500 0.2500 (multiplicity 4)  4 Li 2.60, 4 Zn 2.60

## Properties
The electronic total energy is -5.442 eV per atom.

***

RbPdPb: relaxed, PBE.

abc: 7.5733 7.5733 7.5733
angles: 90.00 90.00 90.00
Last column: nearest neighbours and their distance in Å.
Space group F-43m (No. 216)
One atom of each set of equivalent atoms:
Rb1 0.0000 0.0000 0.0000 (multiplicity 4)  4 Pd 3.28, 4 Pb 3.28
Pd1 0.2500 0.2500 0.2500 (multiplicity 4)  4 Rb 3.28
Pb1 0.2500 0.2500 0.7500 (multiplicity 4)  4 Rb 3.28

## Properties
The electronic total energy is -2.481 eV per atom.

***

TaGeIr2: relaxed, PBE.

abc: 6.3065 6.3065 6.3065
angles: 90.00 90.00 90.00
Last column: nearest neighbours and their distance in Å.
Space group F-43m (No. 216)
One atom of each set of equivalent atoms:
Ta1 0.0000 0.0000 0.0000 (multiplicity 4)  4 Ge 2.73, 4 Ir 2.73
Ge1 0.2500 0.2500 0.7500 (multiplicity 4)  4 Ta 2.73, 4 Ir 2.73
Ir1 0.0000 0.0000 0.5000 (multiplicity 4)  4 Ge 2.73, 4 Ir 2.73
Ir2 0.2500 0.2500 0.2500 (multiplicity 4)  4 Ta 2.73, 4 Ir 2.73

## Properties
The electronic total energy is -8.585 eV per atom.

***

Hf2CuIr: relaxed, PBE.

abc: 4.6054 4.6054 3.2419
angles: 90.00 90.00 90.00
Last column: nearest neighbours and their distance in Å.
Space group P4/mmm (No. 123)
One atom of each set of equivalent atoms:
Hf1 0.0000 0.5000 0.0000 (multiplicity 2)  4 Cu 2.82, 4 Ir 2.82
Cu1 0.0000 0.0000 0.5000 (multiplicity 1)  8 Hf 2.82
Ir1 0.5000 0.5000 0.5000 (multiplicity 1)  8 Hf 2.82

## Properties
The value obtained for the formation energy is -0.57 eV/atom.

***

ReBr: relaxed, PBE.

abc: 5.3724 5.3724 5.3724
angles: 90.00 90.00 90.00
Last column: nearest neighbours and their distance in Å.
Space group Fm-3m (No. 225)
One atom of each set of equivalent atoms:
Re1 0.0000 0.0000 0.0000 (multiplicity 4)  6 Br 2.69
Br1 0.0000 0.0000 0.5000 (multiplicity 4)  6 Re 2.69

## Properties
The electronic total energy is -4.700 eV per atom.

***

Nd2Mg4IrPt: relaxed, PBE.

abc: 8.3379 4.2192 10.3741
angles: 90.00 90.00 90.00
Last column: nearest neighbours and their distance in Å.
Space group Amm2 (No. 38)
One atom of each set of equivalent atoms:
Nd1 0.0000 0.0000 0.0000 (multiplicity 2)  3 Ir 2.99-3.07, 2 Mg 3.33
Nd2 0.5000 0.0000 0.1259 (multiplicity 2)  3 Pt 3.02, 2 Mg 3.38
Mg1 0.1925 0.0000 0.7185 (multiplicity 4)  2 Ir 2.77, 1 Pt 2.83, 2 Mg 3.05
Mg2 0.3030 0.0000 0.4106 (multiplicity 4)  2 Pt 2.79, 1 Ir 2.79, 2 Mg 3.05
Ir1 0.0000 0.0000 0.2959 (multiplicity 2)  6 Mg 2.77-2.79, 3 Nd 2.99-3.07
Pt1 0.5000 0.0000 0.8344 (multiplicity 2)  6 Mg 2.79-2.83, 3 Nd 3.02

## Properties
The electronic total energy is -4.406 eV per atom.

***

Gd2Pd: relaxed, PBE.

abc: 8.5255 8.5255 8.5255
angles: 90.00 90.00 90.00
Last column: nearest neighbours and their distance in Å.
Space group Fd-3m (No. 227, origin choice 2)
One atom of each set of equivalent atoms:
Gd1 0.0000 0.0000 0.0000 (multiplicity 16)  6 Gd 3.01
Pd1 0.1250 0.1250 0.6250 (multiplicity 8)  12 Gd 3.53, 4 Pd 3.69

## Properties
The value obtained for the formation energy is 0.41 eV/atom.

***

PmNdGa4: relaxed, PBE.

abc: 4.2676 4.2676 8.5377
angles: 90.00 90.00 120.00
Last column: nearest neighbours and their distance in Å.
Space group P6/mmm (No. 191)
One atom of each set of equivalent atoms:
Pm1 0.0000 0.0000 0.0000 (multiplicity 1)  12 Ga 3.25
Nd1 0.0000 0.0000 0.5000 (multiplicity 1)  12 Ga 3.27
Ga1 0.3333 0.6667 0.2483 (multiplicity 4)  3 Ga 2.46

## Properties
The electronic total energy is -4.297 eV per atom.

***

RbGaCoTe3: relaxed, PBE.

abc: 4.0360 16.1780 11.4602
angles: 90.00 90.00 90.00
Last column: nearest neighbours and their distance in Å.
Space group Cmcm (No. 63)
One atom of each set of equivalent atoms:
Rb1 0.0000 0.2474 0.2500 (multiplicity 4)  8 Te 3.70-4.05, 2 Ga 3.85, 2 Rb 4.04
Ga1 0.0000 0.4552 0.7500 (multiplicity 4)  4 Te 2.65
Co1 0.0000 0.0000 0.0000 (multiplicity 4)  4 Te 2.66
Te1 0.0000 0.0610 0.7500 (multiplicity 4)  2 Ga 2.65
Te2 0.0000 0.3958 0.5347 (multiplicity 8)  1 Ga 2.65, 2 Co 2.66

## Properties
The electronic total energy is -3.723 eV per atom.

***

PrGd2In3Pd3: relaxed, PBE.

abc: 3.9819 13.3687 7.7105
angles: 90.00 90.00 90.00
Last column: nearest neighbours and their distance in Å.
Space group Amm2 (No. 38)
One atom of each set of equivalent atoms:
Pr1 0.0000 0.0000 0.0000 (multiplicity 2)  5 Pd 3.09-3.18, 6 In 3.27-3.43
Gd1 0.0000 0.2051 0.3834 (multiplicity 4)  5 Pd 3.05-3.16, 6 In 3.26-3.41
In1 0.5000 0.0000 0.3371 (multiplicity 2)  4 Pd 2.77-2.96
In2 0.5000 0.1288 0.7143 (multiplicity 4)  4 Pd 2.81-2.95
Pd1 0.0000 0.0000 0.5877 (multiplicity 2)  6 In 2.77-2.81
Pd2 0.5000 0.1691 0.0899 (multiplicity 4)  3 In 2.87-2.96, 4 Gd 3.05, 2 Pr 3.09

## Properties
The electronic total energy is -5.005 eV per atom.

***

GaCuReHg: relaxed, PBE.

abc: 6.3548 6.3548 6.3548
angles: 90.00 90.00 90.00
Last column: nearest neighbours and their distance in Å.
Space group F-43m (No. 216)
One atom of each set of equivalent atoms:
Ga1 0.0000 0.0000 0.0000 (multiplicity 4)  4 Hg 2.75, 4 Cu 2.75
Cu1 0.2500 0.2500 0.2500 (multiplicity 4)  4 Re 2.75, 4 Ga 2.75
Re1 0.0000 0.0000 0.5000 (multiplicity 4)  4 Hg 2.75, 4 Cu 2.75
Hg1 0.2500 0.2500 0.7500 (multiplicity 4)  4 Re 2.75, 4 Ga 2.75

## Properties
The electronic total energy is -3.961 eV per atom.

***

SmTmPt: relaxed, PBE.

abc: 7.1721 4.7697 8.7898
angles: 90.00 90.00 90.00
Last column: nearest neighbours and their distance in Å.
Space group Pnma (No. 62)
One atom of each set of equivalent atoms:
Sm1 0.0104 0.2500 0.1721 (multiplicity 4)  3 Pt 2.88-3.11
Tm1 0.1426 0.2500 0.5789 (multiplicity 4)  4 Pt 2.82-3.00
Pt1 0.2499 0.2500 0.9084 (multiplicity 4)  4 Tm 2.82-3.00, 3 Sm 2.88-3.11

## Properties
The value obtained for the formation energy is -0.95 eV/atom.

***

AcReNi: relaxed, PBE.

abc: 6.5308 6.5308 6.5308
angles: 90.00 90.00 90.00
Last column: nearest neighbours and their distance in Å.
Space group F-43m (No. 216)
One atom of each set of equivalent atoms:
Ac1 0.0000 0.0000 0.0000 (multiplicity 4)  4 Ni 2.83
Re1 0.0000 0.0000 0.5000 (multiplicity 4)  4 Ni 2.83
Ni1 0.2500 0.2500 0.2500 (multiplicity 4)  4 Re 2.83, 4 Ac 2.83

## Properties
The value obtained for the formation energy is 0.89 eV/atom.

***

LuBPO: relaxed, PBE.

abc: 3.8568 3.8568 6.8430
angles: 90.00 90.00 90.00
Last column: nearest neighbours and their distance in Å.
Space group P4/nmm (No. 129, origin choice 2)
One atom of each set of equivalent atoms:
Lu1 0.2500 0.2500 0.1537 (multiplicity 2)  4 O 2.20
B1 0.2500 0.7500 0.5000 (multiplicity 2)  4 P 2.06
P1 0.2500 0.2500 0.6071 (multiplicity 2)  4 B 2.06
O1 0.2500 0.7500 0.0000 (multiplicity 2)  4 Lu 2.20

## Properties
The electronic total energy is -6.840 eV per atom.

***

BaMgPb2Au: relaxed, PBE.

abc: 4.9273 4.9273 12.4097
angles: 90.00 90.00 90.00
Last column: nearest neighbours and their distance in Å.
Space group I4mm (No. 107)
One atom of each set of equivalent atoms:
Ba1 0.0000 0.0000 0.0000 (multiplicity 2)  4 Au 3.67, 4 Mg 3.78, 8 Pb 3.84-4.08
Mg1 0.0000 0.0000 0.6175 (multiplicity 2)  1 Au 2.60
Pb1 0.0000 0.5000 0.2625 (multiplicity 4)  2 Mg 3.05, 2 Au 3.05
Au1 0.0000 0.0000 0.4078 (multiplicity 2)  1 Mg 2.60

## Properties
The electronic total energy is -3.259 eV per atom.

***

ErTmSn2Ge2: relaxed, PBE.

abc: 4.0559 4.2581 16.1679
angles: 90.00 90.00 90.00
Last column: nearest neighbours and their distance in Å.
Space group Amm2 (No. 38)
One atom of each set of equivalent atoms:
Er1 0.0000 0.0000 0.0000 (multiplicity 2)  6 Ge 3.01-3.21, 4 Sn 3.26-3.30
Tm1 0.5000 0.0000 0.8124 (multiplicity 2)  6 Ge 3.01-3.20, 4 Sn 3.24-3.28
Sn1 0.0000 0.0000 0.6528 (multiplicity 2)  4 Sn 2.94, 2 Er 3.26, 2 Tm 3.28
Sn2 0.5000 0.0000 0.1613 (multiplicity 2)  4 Sn 2.94, 2 Tm 3.24
Ge1 0.0000 0.0000 0.3511 (multiplicity 2)  2 Ge 2.69, 4 Tm 3.01
Ge2 0.5000 0.0000 0.4600 (multiplicity 2)  2 Ge 2.69

## Properties
The electronic total energy is -4.973 eV per atom.

***

Li2TmO2: relaxed, PBE.

abc: 3.2080 3.2080 5.6398
angles: 90.00 90.00 120.00
Last column: nearest neighbours and their distance in Å.
Space group P-3m1 (No. 164)
One atom of each set of equivalent atoms:
Li1 0.3333 0.6667 0.1200 (multiplicity 2)  4 O 1.96-2.01
Tm1 0.0000 0.0000 0.5000 (multiplicity 1)  6 O 2.38
O1 0.3333 0.6667 0.7642 (multiplicity 2)  4 Li 1.96-2.01

## Properties
The electronic total energy is -5.764 eV per atom.